1.
Material: NdAl2InPd5
Method: DFT, PBE
State: optimized geometry

**M_tot**: 0.0 μB/f.u.
**Calculated total energy**: -5.137 eV per atom

a = 4.212 Å, b = 4.212 Å, c = 9.376 Å
α = 90.00°, β = 90.00°, γ = 90.00°
Atoms (fractional coordinates):
Nd 0.000 0.000 0.000
Al 0.500 0.500 0.364
Al 0.500 0.500 0.636
In 0.000 0.000 0.500
Pd 0.000 0.500 0.229
Pd 0.000 0.500 0.771
Pd 0.500 0.000 0.229
Pd 0.500 0.000 0.771
Pd 0.500 0.500 0.000

---

2.
Material: NdAlIn2Pd4
Method: DFT, PBE
State: optimized geometry

**M_tot**: 0.0 μB/f.u.
**Calculated total energy**: -5.029 eV per atom

a = 8.875 Å, b = 8.875 Å, c = 8.875 Å
α = 29.88°, β = 29.88°, γ = 29.88°
Atoms (fractional coordinates):
Nd 0.000 0.000 0.000
Al 0.500 0.500 0.500
In 0.245 0.245 0.245
In 0.755 0.755 0.755
Pd 0.135 0.135 0.135
Pd 0.401 0.401 0.401
Pd 0.599 0.599 0.599
Pd 0.865 0.865 0.865

---

3.
Material: Nd2Al4InPd3
Method: DFT, PBE
State: optimized geometry

**M_tot**: 0.0 μB/f.u.
**Calculated total energy**: -5.024 eV per atom

a = 4.341 Å, b = 4.341 Å, c = 10.758 Å
α = 90.00°, β = 90.00°, γ = 90.00°
Atoms (fractional coordinates):
Nd 0.000 0.500 0.242
Nd 0.500 0.000 0.758
Al 0.000 0.000 0.000
Al 0.000 0.500 0.649
Al 0.500 0.000 0.351
Al 0.500 0.500 0.000
In 0.000 0.000 0.500
Pd 0.000 0.500 0.877
Pd 0.500 0.000 0.123
Pd 0.500 0.500 0.500

---

4.
Material: NdAl2InPd4
Method: DFT, PBE
State: optimized geometry

**M_tot**: 0.0 μB/f.u.
**Calculated total energy**: -5.181 eV per atom

a = 9.484 Å, b = 9.484 Å, c = 9.484 Å
α = 26.50°, β = 26.50°, γ = 26.50°
Atoms (fractional coordinates):
Nd 0.000 0.000 0.000
Al 0.245 0.245 0.245
Al 0.755 0.755 0.755
In 0.500 0.500 0.500
Pd 0.123 0.123 0.123
Pd 0.400 0.400 0.400
Pd 0.600 0.600 0.600
Pd 0.877 0.877 0.877